# 1
First-principles (PBE) data for a relaxed CrCoOs2 crystal, as listed in Alexandria via LeMat-Bulk.

The excess energy over the best structure of this formula in the dataset is 0.108 eV per atom. The calculation puts the calculated density at 15.87 g cm⁻³. The density of states at the Fermi level comes out at 4.843 states/eV/cell.

Cell lengths 2.6562, 2.6562, 7.2890 Å; angles 90.00, 90.00, 90.00 degrees
Fractional positions:
Co 0.0000 0.0000 0.5100
Os 0.0000 0.0000 0.9950
Os 0.5000 0.5000 0.2597
Cr 0.5000 0.5000 0.7353

# 2
First-principles (PBE) data for a relaxed Cr4CoOs crystal, as listed in Alexandria via LeMat-Bulk.

The calculation puts the calculated total energy at -56.2 eV for the cell shown. The calculation puts the calculated density at 10.56 g cm⁻³. The density of states at the Fermi level comes out at 5.507 states/eV/cell.

Cell lengths 4.6676, 4.6676, 4.6676 Å; angles 60.00, 60.00, 60.00 degrees
Each line ends with the local moment (μB).
Fractional positions:
Co 0.0000 0.0000 0.0000  0.60
Cr 0.3741 0.3741 0.3741  0.00
Cr 0.3741 0.8777 0.3741  0.00
Cr 0.8777 0.3741 0.3741  0.00
Cr 0.3741 0.3741 0.8777  0.00
Os 0.7500 0.7500 0.7500  -0.02

# 3
First-principles (PBE) data for a relaxed Cr2CoOs crystal, as listed in Alexandria via LeMat-Bulk.

The calculation puts the calculated total energy at -37.1 eV for the cell shown. The calculation puts the calculated density at 12.05 g cm⁻³. The density of states at the Fermi level comes out at 6.314 states/eV/cell.

Cell lengths 2.6110, 2.6110, 7.1364 Å; angles 90.00, 90.00, 90.00 degrees
Fractional positions:
Co 0.5000 0.5000 0.7500
Cr 0.0000 0.0000 0.9871
Cr 0.0000 0.0000 0.5129
Os 0.5000 0.5000 0.2500

# 4
First-principles (PBE) data for a relaxed CrCoOs4 crystal, as listed in Alexandria via LeMat-Bulk.

The excess energy over the best structure of this formula in the dataset is 0.655 eV per atom. The calculation puts the calculated density at 15.61 g cm⁻³. The density of states at the Fermi level comes out at 10.943 states/eV/cell.

Cell lengths 5.0810, 5.0810, 5.0810 Å; angles 60.00, 60.00, 60.00 degrees
Each line ends with the local moment (μB).
Fractional positions:
Os 0.3750 0.8749 0.3750  -0.02
Os 0.3750 0.3750 0.8749  -0.02
Os 0.8749 0.3750 0.3750  -0.02
Os 0.3750 0.3750 0.3750  -0.02
Cr 0.0000 0.0000 0.0000  2.51
Co 0.7500 0.7500 0.7500  1.86

Computed values of magnetization (unit: μB per cell) for the preceding records, in sequence: 0.00; 0.53; 0.04; 4.37.